A plane-wave DFT calculation with PBE was carried out for a geometry-optimized LiH2Pd structure.

a b c (Å): 2.9589 2.9589 13.4040
angles (deg): 90.00 90.00 120.00
Space group R-3m (No. 166, hexagonal axes)
Asymmetric unit:
Li1 0.0000 0.0000 0.0000 (multiplicity 3)
H1 0.0000 0.0000 0.2359 (multiplicity 6)
Pd1 0.0000 0.0000 0.5000 (multiplicity 3)

Properties
**Excess energy over the best structure of this formula in the dataset**: 9.7 kJ per mole of atoms
**Density of states at the Fermi level**: 0.133 states/eV/atom